No. 1
La2Ag2Pd (PBE-GGA, relaxed); uncorrected energy = -4.282 eV per atom; space group = No. 139; Fermi-level density of states = 0.53 states/eV/atom; DFT formation energy = -0.13 eV/atom; energy above the most stable polymorph in this dataset = 322 meV/atom; total moment = 0.00 Bohr magnetons per cell
1.0
-3.7298 3.2582 -3.1442
-2.8590 -4.8535 -1.6380
-5.6957 -0.4620 0.8054
La Pd Ag
2 1 2
direct
0.7500 0.2500 0.5000
0.2500 0.7500 0.5000
0.0000 0.0000 0.0000
0.3410 0.3410 0.3180
0.6590 0.6590 0.6820

***

No. 2
Cs3Si2P4 (PBE-GGA, relaxed); formation energy (no corrections) = -20 kJ per mole of atoms; uncorrected energy = -4.099 eV per atom; space group = No. 12; Fermi-level density of states = 0.27 states/eV/atom; total moment = 0.00 Bohr magnetons per cell
1.0
-2.6836 0.2394 -3.4215
-6.4990 -0.9139 5.0334
4.8689 7.9156 -0.4936
Si Cs P
2 3 4
direct
0.3301 0.0854 0.6602
0.6699 0.9146 0.3398
0.1490 0.5440 0.2980
0.8510 0.4560 0.7020
0.0000 0.0000 0.0000
0.5243 0.6618 0.0486
0.2029 0.0842 0.4059
0.4757 0.3382 0.9514
0.7971 0.9158 0.5941

***

No. 3
CaMgFe2 (PBE-GGA, relaxed); uncorrected energy = -4.578 eV per atom; space group = No. 139; Fermi-level density of states = 0.92 states/eV/atom; DFT formation energy = 0.55 eV/atom; total moment = 4.40 Bohr magnetons per cell
1.0
5.0586 -0.0111 0.0000
1.5860 4.8035 0.0000
-3.3223 -2.3962 2.9681
Ca Mg Fe
1 1 2
direct
0.2500 0.7500 0.5000
0.7500 0.2500 0.5000
0.0000 0.0000 0.0000
0.5000 0.5000 0.0000

***

No. 4
SrTbIn (PBE-GGA, relaxed); uncorrected energy = -3.319 eV per atom; space group = No. 129; Fermi-level density of states = 0.74 states/eV/atom; DFT formation energy = -0.30 eV/atom; energy above the most stable polymorph in this dataset = 0 meV/atom; total moment = 0.32 Bohr magnetons per cell
1.0
5.0895 0.0000 0.0000
0.0000 5.0895 0.0000
0.0000 0.0000 8.2912
In Tb Sr
2 2 2
direct
0.0000 0.5000 0.2689
0.5000 0.0000 0.7311
0.0000 0.0000 0.5000
0.5000 0.5000 0.5000
0.0000 0.5000 0.8561
0.5000 0.0000 0.1439

***

No. 5
HfIn2Au2 (PBE-GGA, relaxed); uncorrected energy = -4.407 eV per atom; space group = No. 127; Fermi-level density of states = 0.67 states/eV/atom; DFT formation energy = -0.01 eV/atom; energy above the most stable polymorph in this dataset = 109 meV/atom; total moment = 0.00 Bohr magnetons per cell
1.0
8.0980 0.0000 0.0000
0.0000 8.0980 0.0000
0.0000 0.0000 3.1928
Au Hf In
4 2 4
direct
0.3337 0.1663 0.5000
0.8337 0.3337 0.5000
0.1663 0.6663 0.5000
0.6663 0.8337 0.5000
0.0000 0.0000 0.0000
0.5000 0.5000 0.0000
0.3653 0.8653 0.0000
0.1347 0.3653 0.0000
0.8653 0.6347 0.0000
0.6347 0.1347 0.0000

***

No. 6
PmNiTePd (PBE-GGA, relaxed); formation energy (no corrections) = -46 kJ per mole of atoms; uncorrected energy = -5.195 eV per atom; space group = No. 216; Fermi-level density of states = 0.62 states/eV/atom; total moment = 0.00 Bohr magnetons per cell
1.0
-0.9796 4.7078 -0.4314
-1.3669 1.8003 -4.2661
-4.5526 1.4684 -0.6536
Ni Pd Pm Te
1 1 1 1
direct
0.2500 0.2500 0.2500
0.7500 0.7500 0.7500
0.0000 0.0000 0.0000
0.5000 0.5000 0.5000